Below is a relaxed Re4Mo2H crystal, with properties calculated at the PBE-GGA level.

Cell: 3.971 3.971 6.939 Å, 73.38 73.38 90.00°
Atoms (fractional coordinates):
Re1 0.844 0.844 0.312
Re2 0.156 0.156 0.688
Re3 0.000 0.500 0.000
Re4 0.500 0.000 0.000
Mo1 0.649 0.649 0.703
Mo2 0.351 0.351 0.297
H1 0.000 0.000 0.000

Output
Energy in eV per atom: -10.209
Density in Mg/m³: 15.6